Here is a relaxed Pm2Tl3 crystal from Alexandria via LeMat-Bulk. Energies are from PBE.

Results
The calculation puts the energy at -3.604 eV per atom. The value obtained for the formation energy is -0.28 eV per atom.

a = 12.513 Å, b = 4.399 Å, c = 11.094 Å
α = 90.00°, β = 90.00°, γ = 90.00°
Space group Pnma (No. 62)
Unique sites:
Pm: 0.005 0.250 0.160 (multiplicity 4)
Pm: 0.161 0.250 0.568 (multiplicity 4)
Tl: 0.089 0.750 0.355 (multiplicity 4)
Tl: 0.165 0.250 0.940 (multiplicity 4)
Tl: 0.248 0.750 0.757 (multiplicity 4)

---

Here is a relaxed Ba3BiO6 crystal from Alexandria via LeMat-Bulk. Energies are from PBE.

Results
The formation energy without anion corrections comes out at -1813 meV per atom. The calculation puts the energy at -5.753 eV per atom.

a = 6.5859 Å, b = 6.5859 Å, c = 10.7834 Å
α = 90.00°, β = 90.00°, γ = 120.00°
Space group P6_322 (No. 182)
Unique sites:
Ba: 0.0000 0.0000 0.0000 (multiplicity 2)
Ba: 0.3333 0.6667 0.0761 (multiplicity 4)
Bi: 0.3333 0.6667 0.7500 (multiplicity 2)
O: 0.0872 0.3954 0.6273 (multiplicity 12)

---

Here is a relaxed Rb5Pb2O6 crystal from Alexandria via LeMat-Bulk. Energies are from PBE.

Results
The formation energy without anion corrections comes out at -1145 meV per atom. The calculation puts the energy at -4.376 eV per atom.

a = 11.968 Å, b = 7.853 Å, c = 15.039 Å
α = 90.00°, β = 102.40°, γ = 90.00°
Space group C2/c (No. 15)
Unique sites:
Rb: 0.000 0.113 0.250 (multiplicity 4)
Rb: 0.032 0.235 0.007 (multiplicity 8)
Rb: 0.150 0.384 0.716 (multiplicity 8)
Pb: 0.226 0.409 0.430 (multiplicity 8)
O: 0.058 0.499 0.882 (multiplicity 8)
O: 0.145 0.026 0.641 (multiplicity 8)
O: 0.205 0.126 0.422 (multiplicity 8)

---

Here is a relaxed SrPtSe2 crystal from Alexandria via LeMat-Bulk. Energies are from PBE.

Results
The formation energy without anion corrections comes out at -778 meV per atom. The calculation puts the energy at -4.451 eV per atom. As for the offset from the most stable computed form: 0.93 eV/f.u.

a = 5.667 Å, b = 5.667 Å, c = 14.823 Å
α = 90.00°, β = 90.00°, γ = 90.00°
Space group I-42d (No. 122)
Unique sites:
Sr: 0.000 0.000 0.000 (multiplicity 4)
Pt: 0.000 0.000 0.500 (multiplicity 4)
Se: 0.161 0.250 0.625 (multiplicity 8)

---

Here is a relaxed Dy14ErHf crystal from Alexandria via LeMat-Bulk. Energies are from PBE.

Results
The calculation puts the energy at -4.887 eV per atom. The value obtained for the formation energy is 0.05 eV per atom.

a = 7.025 Å, b = 7.025 Å, c = 9.912 Å
α = 90.00°, β = 90.00°, γ = 90.00°
Space group P4/mmm (No. 123)
Unique sites:
Dy: 0.000 0.000 0.000 (multiplicity 1)
Dy: 0.000 0.500 0.000 (multiplicity 2)
Dy: 0.000 0.500 0.500 (multiplicity 2)
Dy: 0.245 0.245 0.256 (multiplicity 8)
Dy: 0.500 0.500 0.000 (multiplicity 1)
Er: 0.500 0.500 0.500 (multiplicity 1)
Hf: 0.000 0.000 0.500 (multiplicity 1)

---

Here is a relaxed Li2AgAu2 crystal from Alexandria via LeMat-Bulk. Energies are from PBE.

Results
The calculation puts the energy at -3.000 eV per atom. As for the offset from the most stable computed form: 0.18 eV/f.u. The value obtained for the formation energy is -0.35 eV per atom.

a = 7.477 Å, b = 7.477 Å, c = 2.878 Å
α = 90.00°, β = 90.00°, γ = 90.00°
Space group P4/mbm (No. 127)
Unique sites:
Li: 0.138 0.362 0.000 (multiplicity 4)
Ag: 0.000 0.000 0.000 (multiplicity 2)
Au: 0.158 0.658 0.500 (multiplicity 4)

---

Here is a relaxed Sc3Al2In crystal from Alexandria via LeMat-Bulk. Energies are from PBE.

Results
The calculation puts the energy at -5.302 eV per atom. The value obtained for the formation energy is -0.43 eV per atom.

a = 3.237 Å, b = 3.237 Å, c = 11.688 Å
α = 90.00°, β = 90.00°, γ = 90.00°
Space group P4/mmm (No. 123)
Unique sites:
Sc: 0.000 0.000 0.000 (multiplicity 1)
Sc: 0.000 0.000 0.321 (multiplicity 2)
Al: 0.500 0.500 0.161 (multiplicity 2)
In: 0.500 0.500 0.500 (multiplicity 1)

---

Here is a relaxed PbCl2 crystal from Alexandria via LeMat-Bulk. Energies are from PBE.

Results
The formation energy without anion corrections comes out at -1138 meV per atom. The calculation puts the energy at -3.606 eV per atom.

a = 10.297 Å, b = 4.195 Å, c = 15.834 Å
α = 90.00°, β = 90.01°, γ = 90.00°
Space group P2_1/c (No. 14)
Unique sites:
Pb: 0.159 0.238 0.330 (multiplicity 4)
Pb: 0.341 0.247 0.580 (multiplicity 4)
Cl: 0.047 0.242 0.164 (multiplicity 4)
Cl: 0.199 0.749 0.993 (multiplicity 4)
Cl: 0.301 0.742 0.243 (multiplicity 4)
Cl: 0.453 0.249 0.414 (multiplicity 4)

---

Here is a relaxed CaHfBi2O6 crystal from Alexandria via LeMat-Bulk. Energies are from PBE.

Results
The formation energy without anion corrections comes out at -2280 meV per atom. The calculation puts the energy at -7.227 eV per atom.

a = 5.9173 Å, b = 5.9173 Å, c = 15.0781 Å
α = 90.00°, β = 90.00°, γ = 120.00°
Space group R3 (No. 146, hexagonal axes)
Unique sites:
Ca: 0.0000 0.0000 0.0000 (multiplicity 3)
Hf: 0.0000 0.0000 0.4947 (multiplicity 3)
Bi: 0.0000 0.0000 0.2845 (multiplicity 3)
Bi: 0.0000 0.0000 0.7829 (multiplicity 3)
O: 0.0719 0.3402 0.5552 (multiplicity 9)
O: 0.0776 0.6890 0.0613 (multiplicity 9)

---

Here is a relaxed LiBe2Sb2 crystal from Alexandria via LeMat-Bulk. Energies are from PBE.

Results
The formation energy without anion corrections comes out at 289 meV per atom. The calculation puts the energy at -3.233 eV per atom. As for the offset from the most stable computed form: 1.39 eV/f.u.

a = 7.380 Å, b = 7.380 Å, c = 3.419 Å
α = 90.00°, β = 90.00°, γ = 90.00°
Space group P4/mbm (No. 127)
Unique sites:
Li: 0.000 0.000 0.000 (multiplicity 2)
Be: 0.111 0.389 0.500 (multiplicity 4)
Sb: 0.170 0.670 0.000 (multiplicity 4)

---

Here is a relaxed HfBiSe crystal from Alexandria via LeMat-Bulk. Energies are from PBE.

Results
The formation energy without anion corrections comes out at -639 meV per atom. The calculation puts the energy at -6.412 eV per atom. As for the offset from the most stable computed form: 0.25 eV/f.u.

a = 3.345 Å, b = 3.345 Å, c = 14.585 Å
α = 90.00°, β = 90.00°, γ = 90.00°
Space group I4mm (No. 107)
Unique sites:
Hf: 0.000 0.000 0.000 (multiplicity 2)
Bi: 0.000 0.000 0.340 (multiplicity 2)
Se: 0.000 0.000 0.594 (multiplicity 2)

---

Here is a relaxed LaPmEuAg crystal from Alexandria via LeMat-Bulk. Energies are from PBE.

Results
The calculation puts the energy at -5.586 eV per atom. The value obtained for the formation energy is 0.11 eV per atom.

a = 7.894 Å, b = 7.894 Å, c = 7.894 Å
α = 90.00°, β = 90.00°, γ = 90.00°
Space group F-43m (No. 216)
Unique sites:
La: 0.000 0.000 0.000 (multiplicity 4)
Pm: 0.250 0.250 0.750 (multiplicity 4)
Eu: 0.000 0.000 0.500 (multiplicity 4)
Ag: 0.250 0.250 0.250 (multiplicity 4)